(1)
A relaxed CsKH3Au crystal, computed with PBE.

a b c (Å): 6.6085 6.6085 7.2107
angles (deg): 90.00 90.00 120.00
Positions (direct):
Cs: 0.3333 0.6667 0.2500
Cs: 0.6667 0.3333 0.7500
K: 0.0000 0.0000 0.0000
K: 0.0000 0.0000 0.5000
H: 0.1806 0.3612 0.7500
H: 0.1806 0.8194 0.7500
H: 0.3612 0.1806 0.2500
H: 0.6388 0.8194 0.7500
H: 0.8194 0.1806 0.2500
H: 0.8194 0.6388 0.2500
Au: 0.3333 0.6667 0.7500
Au: 0.6667 0.3333 0.2500

Computed properties:
As for the uncorrected energy: -2.77 eV per atom. Its symmetry is P6_3/mmc. The value obtained for the total magnetization is 0.00 μB per formula unit.

(2)
A relaxed ScZnSi2 crystal, computed with PBE.

a b c (Å): 2.8917 2.8917 7.9304
angles (deg): 90.00 90.00 90.00
Positions (direct):
Sc: 0.0000 0.0000 0.0000
Zn: 0.0000 0.0000 0.5000
Si: 0.5000 0.5000 0.2515
Si: 0.5000 0.5000 0.7485

Computed properties:
As for the uncorrected formation energy: 0.0043 eV per atom. As for the uncorrected energy: -4.61 eV per atom. Its symmetry is P4/mmm. The value obtained for the total magnetization is 0.00 μB per formula unit.

Question: Look up the uncorrected energy of the second one.
Answer: -4.61 eV per atom